[1]
MoAs2SeCl | PBE | relaxed

For the energy above the most stable polymorph in this dataset, the calculation gives 1132 meV per atom.

The structure belongs to space group P4/mmm (No. 123); the cell edges are 4.735, 4.735 and 5.009 Å and the angles 90.00°, 90.00° and 90.00°. The distinct sites, in fractional coordinates, are Mo at (0.000, 0.000, 0.000), As at (0.000, 0.500, 0.500), Se at (0.500, 0.500, 0.000) and Cl at (0.500, 0.500, 0.500).

[2]
ZrMn5 | PBE | relaxed

The calculation puts the formation energy at 80 meV per atom.

The structure belongs to space group Cmmm (No. 65); the cell edges are 3.882, 10.482 and 3.856 Å and the angles 90.00°, 90.00° and 90.00°. The distinct sites, in fractional coordinates, are Zr at (0.000, 0.000, 0.000), Mn at (0.000, 0.191, 0.500), Mn at (0.000, 0.308, 0.000) and Mn at (0.000, 0.500, 0.500).

[3]
PmNd4In3 | PBE | relaxed

The calculation puts the formation energy at -325 meV per atom.

The structure belongs to space group R-3m (No. 166, hexagonal axes); the cell edges are 5.5272, 5.5272 and 27.7670 Å and the angles 90.00°, 90.00° and 120.00°. The distinct sites, in fractional coordinates, are Pm at (0.0000, 0.0000, 0.0000), Nd at (0.0000, 0.0000, 0.1313), Nd at (0.0000, 0.0000, 0.3846), In at (0.0000, 0.0000, 0.2600) and In at (0.0000, 0.0000, 0.5000).

[4]
AcTmSbPd | PBE | relaxed

The total energy comes out at -82.2 eV/cell.

The structure belongs to space group F-43m (No. 216); the cell edges are 7.598, 7.598 and 7.598 Å and the angles 90.00°, 90.00° and 90.00°. The distinct sites, in fractional coordinates, are Ac at (0.000, 0.000, 0.000), Tm at (0.000, 0.000, 0.500), Sb at (0.250, 0.250, 0.750) and Pd at (0.250, 0.250, 0.250).

[5]
MoAuCl2 | PBE | relaxed

For the energy above the most stable polymorph in this dataset, the calculation gives 33 meV per atom.

The structure belongs to space group Pm (No. 6); the cell edges are 4.675, 3.003 and 7.440 Å and the angles 90.00°, 107.94° and 90.00°. The distinct sites, in fractional coordinates, are Mo at (0.000, 0.000, 0.000), Au at (0.467, 0.500, 0.932), Cl at (0.131, 0.500, 0.269) and Cl at (0.840, 0.000, 0.674).

[6]
DyScHg3 | PBE | relaxed

For the energy above the most stable polymorph in this dataset, the calculation gives 0 meV per atom. The calculation puts the formation energy at -348 meV per atom.

The structure belongs to space group C2/m (No. 12); the cell edges are 15.765, 5.215 and 6.204 Å and the angles 90.00°, 108.48° and 90.00°. The distinct sites, in fractional coordinates, are Dy at (0.095, 0.000, 0.342), Sc at (0.196, 0.500, 0.798), Hg at (0.006, 0.500, 0.756), Hg at (0.119, 0.000, 0.868) and Hg at (0.208, 0.500, 0.313).

[7]
CrCdMo2 | PBE | relaxed

The calculation puts the formation energy at 354 meV per atom.

The structure belongs to space group P4mm (No. 99); the cell edges are 3.155, 3.155 and 6.610 Å and the angles 90.00°, 90.00° and 90.00°. The distinct sites, in fractional coordinates, are Cr at (0.000, 0.000, 0.000), Cd at (0.500, 0.500, 0.727), Mo at (0.000, 0.000, 0.429) and Mo at (0.500, 0.500, 0.205).

[8]
Sr3Mg4Pt4 | PBE | relaxed

The calculation puts the formation energy at -757 meV per atom.

The structure belongs to space group Immm (No. 71); the cell edges are 4.392, 7.851 and 14.811 Å and the angles 90.00°, 90.00° and 90.00°. The distinct sites, in fractional coordinates, are Sr at (0.000, 0.000, 0.000), Sr at (0.000, 0.500, 0.119), Mg at (0.000, 0.306, 0.326), Pt at (0.000, 0.000, 0.222) and Pt at (0.000, 0.182, 0.500).

no.,total magnetization (μB/f.u.),ρ (g cm⁻³)
1,2.19,5.3
2,2.49,7.7
3,1.74,7.2
4,0.52,9.4
5,1.11,6.1
6,0.00,11.1
7,1.92,9.0
8,0.00,7.4